a:
Here is AsH2W2 after structural relaxation from Alexandria. Energies are from PBE.

Output
Its total magnetic moment is 0.00 Bohr magnetons per cell. The value obtained for the density of states at the Fermi level is 9.94 states/eV per cell.

```
data_AsH2W2
_chemical_formula_sum 'As2 H4 W4'
_cell_length_a 3.953
_cell_length_b 3.953
_cell_length_c 7.333
_cell_angle_alpha 90.00
_cell_angle_beta 90.00
_cell_angle_gamma 90.00
_space_group_name_H-M_alt 'I 4/m m m'
_space_group_IT_number 139
_space_group_name_Hall '-I 4 2'
loop_
_atom_site_label
_atom_site_fract_x
_atom_site_fract_y
_atom_site_fract_z
As1 0.000 0.000 0.000
H1 0.000 0.000 0.346
W1 0.000 0.500 0.250
```


b:
Here is AsH2W2 after structural relaxation from Alexandria. Energies are from PBE.

Output
Its total magnetic moment is 0.00 Bohr magnetons per cell. The value obtained for the density of states at the Fermi level is 6.21 states/eV per cell.

```
data_AsH2W2
_chemical_formula_sum 'As2 H4 W4'
_cell_length_a 5.652
_cell_length_b 5.652
_cell_length_c 3.361
_cell_angle_alpha 90.00
_cell_angle_beta 90.00
_cell_angle_gamma 90.00
_space_group_name_H-M_alt 'P 4/m b m'
_space_group_IT_number 127
_space_group_name_Hall '-P 4 2ab'
loop_
_atom_site_label
_atom_site_fract_x
_atom_site_fract_y
_atom_site_fract_z
As1 0.000 0.000 0.000
H1 0.059 0.441 0.000
W1 0.173 0.673 0.500
```


Which is the most stable structure? a is the most stable.


a:
Here is Y2As2H after structural relaxation from Alexandria. Energies are from PBE.

Output
Its total magnetic moment is 0.00 Bohr magnetons per cell. The value obtained for the density of states at the Fermi level is 6.94 states/eV per cell.

```
data_Y2As2H
_chemical_formula_sum 'Y4 As4 H2'
_cell_length_a 5.311
_cell_length_b 5.311
_cell_length_c 9.047
_cell_angle_alpha 90.00
_cell_angle_beta 90.00
_cell_angle_gamma 90.00
_space_group_name_H-M_alt 'I 4/m m m'
_space_group_IT_number 139
_space_group_name_Hall '-I 4 2'
loop_
_atom_site_label
_atom_site_fract_x
_atom_site_fract_y
_atom_site_fract_z
Y1 0.000 0.500 0.250
As1 0.000 0.000 0.141
H1 0.000 0.000 0.500
```


b:
Here is Y2As2H after structural relaxation from Alexandria. Energies are from PBE.

Output
Its total magnetic moment is 0.00 Bohr magnetons per cell. The value obtained for the density of states at the Fermi level is 5.63 states/eV per cell.

```
data_Y2As2H
_chemical_formula_sum 'Y4 As4 H2'
_cell_length_a 7.762
_cell_length_b 7.762
_cell_length_c 3.718
_cell_angle_alpha 90.00
_cell_angle_beta 90.00
_cell_angle_gamma 90.00
_space_group_name_H-M_alt 'P 4/m b m'
_space_group_IT_number 127
_space_group_name_Hall '-P 4 2ab'
loop_
_atom_site_label
_atom_site_fract_x
_atom_site_fract_y
_atom_site_fract_z
Y1 0.157 0.343 0.000
As1 0.150 0.650 0.500
H1 0.000 0.000 0.500
```


Which is the most stable structure? b is the most stable.